1.
Computed, not measured: Ce2Pm3Ho6Tm after structural relaxation at the GGA-PBE level of DFT.

Cell and atoms, written as extended XYZ:
```
12
Lattice="3.077 -5.327 0.000 3.077 5.327 0.000 -2.047 0.000 11.543" Properties=species:S:1:pos:R:3 pbc="T T T"
Ce 3.077 3.555 0.000
Ce 3.077 -3.555 0.000
Pm -1.024 0.000 5.771
Pm 2.053 1.769 5.771
Pm 2.053 -1.769 5.771
Ho -0.004 1.785 8.703
Ho 1.016 0.000 2.841
Ho -0.004 -1.785 8.703
Ho 4.110 1.785 2.839
Ho 3.090 0.000 8.701
Ho 4.110 -1.785 2.839
Tm 3.077 0.000 0.000
```

Its total energy is -57.5 eV for the cell shown. As for the density of states at the Fermi level: 1.68 states/eV per atom.

***

2.
Computed, not measured: PmPr2Pd after structural relaxation at the GGA-PBE level of DFT.

Cell and atoms, written as extended XYZ:
```
4
Lattice="1.968 1.136 9.649 -1.968 1.136 9.649 0.000 -2.272 9.649" Properties=species:S:1:pos:R:3 pbc="T T T"
Pm 0.000 0.000 0.000
Pr 0.000 0.000 6.690
Pr 0.000 0.000 12.600
Pd 0.000 0.000 24.121
```

The energy relative to the lowest polymorph listed for this composition comes out at 61 kJ/mol of formula units. As for the density of states at the Fermi level: 1.16 states/eV per atom.

***

3.
Computed, not measured: Pr8PtS3Cl4 after structural relaxation at the GGA-PBE level of DFT.

Cell and atoms, written as extended XYZ:
```
16
Lattice="4.147 2.394 6.937 -4.147 2.394 6.937 0.000 -4.789 6.937" Properties=species:S:1:pos:R:3 pbc="T T T"
Pr -2.100 -1.212 11.959
Pr 0.000 0.000 4.963
Pr 0.000 -2.425 8.851
Pr -2.100 1.212 8.851
Pr 2.100 -1.212 11.959
Pr 0.000 2.425 11.959
Pr 0.000 0.000 15.846
Pr 2.100 1.212 8.851
Pt 0.000 0.000 10.405
S -4.147 0.000 10.405
S -2.074 1.197 3.468
S 2.074 1.197 3.468
Cl 0.000 0.000 0.000
Cl -2.074 -1.197 6.937
Cl -2.074 1.197 13.873
Cl 0.000 2.394 6.937
```

Its formation energy from raw total energies is -1.6043 eV/atom. As for the density of states at the Fermi level: 0.78 states/eV per atom.

***

4.
Computed, not measured: TmPaZnAu after structural relaxation at the GGA-PBE level of DFT.

Cell and atoms, written as extended XYZ:
```
4
Lattice="0.000 3.572 3.572 3.572 0.000 3.572 3.572 3.572 0.000" Properties=species:S:1:pos:R:3 pbc="T T T"
Tm 0.000 0.000 0.000
Pa 3.572 3.572 3.572
Zn 1.786 1.786 1.786
Au 5.357 5.357 5.357
```

Its total energy is -19.4 eV for the cell shown. As for the density of states at the Fermi level: 1.89 states/eV per atom.

***

5.
Computed, not measured: Li5CeHg7 after structural relaxation at the GGA-PBE level of DFT.

Cell and atoms, written as extended XYZ:
```
13
Lattice="-2.738 5.010 4.906 2.738 -5.010 4.906 2.738 5.010 -4.906" Properties=species:S:1:pos:R:3 pbc="T T T"
Li 0.000 0.000 0.000
Li 1.394 2.546 0.114
Li 4.083 2.546 0.114
Li -1.345 2.464 5.019
Li 1.345 2.464 5.019
Ce 0.000 5.010 2.445
Hg 2.738 0.000 0.820
Hg 2.738 3.375 -2.475
Hg 2.738 0.000 3.945
Hg 0.000 1.635 2.431
Hg 0.000 0.000 5.222
Hg 2.738 3.143 2.737
Hg 0.000 1.867 7.643
```

Its total energy is -21.3 eV for the cell shown. As for the density of states at the Fermi level: 1.02 states/eV per atom.

***

6.
Computed, not measured: Na3U3TiAs8 after structural relaxation at the GGA-PBE level of DFT.

Cell and atoms, written as extended XYZ:
```
15
Lattice="4.068 2.349 6.907 -4.068 2.349 6.907 0.000 -4.698 6.907" Properties=species:S:1:pos:R:3 pbc="T T T"
Na -2.034 -1.174 6.907
Na -2.034 1.174 13.813
Na 0.000 2.349 6.907
U -4.068 0.000 10.360
U -2.034 1.174 3.453
U 2.034 1.174 3.453
Ti 0.000 0.000 10.360
As 0.000 0.000 4.959
As -1.966 -1.135 11.754
As 0.000 -2.270 8.966
As -1.966 1.135 8.966
As 1.966 -1.135 11.754
As 0.000 2.270 11.754
As 1.966 1.135 8.966
As 0.000 0.000 15.761
```

Its total energy is -89.6 eV for the cell shown. As for the density of states at the Fermi level: 0.72 states/eV per atom.

***

7.
Computed, not measured: Nd2InGa4Pd3 after structural relaxation at the GGA-PBE level of DFT.

Cell and atoms, written as extended XYZ:
```
10
Lattice="4.327 0.000 0.000 0.000 4.327 0.000 0.000 0.000 10.807" Properties=species:S:1:pos:R:3 pbc="T T T"
Nd 0.000 2.164 2.579
Nd 2.164 0.000 8.228
In 0.000 0.000 5.403
Ga 0.000 0.000 0.000
Ga 0.000 2.164 7.021
Ga 2.164 0.000 3.786
Ga 2.164 2.164 0.000
Pd 0.000 2.164 9.474
Pd 2.164 0.000 1.333
Pd 2.164 2.164 5.403
```

Its total energy is -47.2 eV for the cell shown. As for the density of states at the Fermi level: 0.55 states/eV per atom.

***

8.
Computed, not measured: PmHo5TlIn2 after structural relaxation at the GGA-PBE level of DFT.

Cell and atoms, written as extended XYZ:
```
18
Lattice="-4.276 4.276 7.088 4.276 -4.276 7.088 4.276 4.276 -7.088" Properties=species:S:1:pos:R:3 pbc="T T T"
Pm 4.276 0.000 3.544
Pm 0.000 4.276 3.544
Ho 0.000 0.000 0.000
Ho 6.055 1.779 -1.891
Ho 1.779 2.497 -1.891
Ho 6.055 1.779 1.891
Ho 1.779 2.497 1.891
Ho 0.000 0.000 7.088
Ho 2.497 1.779 5.197
Ho -1.779 2.497 5.197
Ho 2.497 1.779 8.979
Ho -1.779 2.497 8.979
Tl 0.000 0.000 3.544
Tl 0.000 0.000 10.632
In 3.329 0.947 0.000
In 3.329 -0.947 7.088
In 0.947 5.223 0.000
In 0.947 3.329 7.088
```

Its total energy is -71.8 eV for the cell shown. As for the density of states at the Fermi level: 0.92 states/eV per atom.